DFT (PBE) results for crystalline TmTeAs at its relaxed geometry.

Properties
Crystal system = cubic
Raw total energy = -4.455 eV per atom

Lattice parameters (Å, degrees): 4.8896 4.8896 4.8896 60.00 60.00 60.00
Last column: nearest neighbours and their distance in Å.
Atoms (fractional coordinates):
As  0.0000  0.0000  0.0000  4 Tm 2.99, 4 Te 2.99
Te  0.2500  0.2500  0.2500  4 As 2.99
Tm  0.7500  0.7500  0.7500  4 As 2.99



DFT (PBE) results for crystalline UTeAs at its relaxed geometry.

Properties
Crystal system = cubic
Raw total energy = -6.165 eV per atom

Lattice parameters (Å, degrees): 4.9341 4.9341 4.9341 60.00 60.00 60.00
Last column: nearest neighbours and their distance in Å.
Atoms (fractional coordinates):
U  0.7500  0.7500  0.7500  4 Te 3.02
Te  0.0000  0.0000  0.0000  4 As 3.02, 4 U 3.02
As  0.2500  0.2500  0.2500  4 Te 3.02



DFT (PBE) results for crystalline UTeAs at its relaxed geometry.

Properties
Crystal system = cubic
Raw total energy = -6.671 eV per atom

Lattice parameters (Å, degrees): 4.9323 4.9323 4.9323 60.00 60.00 60.00
Last column: nearest neighbours and their distance in Å.
Atoms (fractional coordinates):
As  0.2500  0.2500  0.2500  4 U 3.02
U  0.0000  0.0000  0.0000  4 Te 3.02, 4 As 3.02
Te  0.7500  0.7500  0.7500  4 U 3.02



DFT (PBE) results for crystalline TeAsW at its relaxed geometry.

Properties
Crystal system = cubic
Raw total energy = -6.407 eV per atom

Lattice parameters (Å, degrees): 4.5747 4.5747 4.5747 60.00 60.00 60.00
Last column: nearest neighbours and their distance in Å.
Atoms (fractional coordinates):
W  0.0000  0.0000  0.0000  4 As 2.80, 4 Te 2.80
As  0.2500  0.2500  0.2500  4 W 2.80
Te  0.7500  0.7500  0.7500  4 W 2.80



DFT (PBE) results for crystalline ZrTe2As2W at its relaxed geometry.

Properties
Crystal system = orthorhombic
Raw total energy = -6.525 eV per atom

Lattice parameters (Å, degrees): 7.4157 7.4157 7.4157 151.56 137.16 52.22
Last column: nearest neighbours and their distance in Å.
Atoms (fractional coordinates):
Te  0.7829  0.2829  0.5000  2 W 2.91, 2 Zr 3.02
As  0.2606  0.0089  0.2517  2 W 2.65, 2 As 2.69-2.73, 2 Zr 2.82
Te  0.2043  0.7043  0.5000  2 W 2.97, 2 Zr 3.00
W  0.6122  0.6122  0.0000  4 As 2.65, 2 Te 2.91
As  0.7572  0.0089  0.7483  2 W 2.65, 2 As 2.69-2.73, 2 Zr 2.82
Zr  0.3829  0.3829  0.0000  4 As 2.82, 4 Te 3.00-3.02, 1 W 3.05



DFT (PBE) results for crystalline ZnTeAs at its relaxed geometry.

Properties
Crystal system = cubic
Raw total energy = -2.573 eV per atom

Lattice parameters (Å, degrees): 4.8190 4.8190 4.8190 60.00 60.00 60.00
Last column: nearest neighbours and their distance in Å.
Atoms (fractional coordinates):
Te  0.0000  0.0000  0.0000  4 As 2.95, 4 Zn 2.95
As  0.2500  0.2500  0.2500  4 Te 2.95
Zn  0.7500  0.7500  0.7500  4 Te 2.95



DFT (PBE) results for crystalline ThAs at its relaxed geometry.

Properties
Crystal system = cubic
Raw total energy = -7.431 eV per atom

Lattice parameters (Å, degrees): 4.2508 4.2508 4.2508 60.00 60.00 60.00
Last column: nearest neighbours and their distance in Å.
Atoms (fractional coordinates):
Th  0.5000  0.5000  0.5000  6 As 3.01
As  0.0000  0.0000  0.0000  6 Th 3.01



DFT (PBE) results for crystalline ThAs at its relaxed geometry.

Properties
Crystal system = hexagonal
Raw total energy = -7.179 eV per atom

Lattice parameters (Å, degrees): 4.0183 4.0183 3.9046 90.00 90.00 120.00
Last column: nearest neighbours and their distance in Å.
Atoms (fractional coordinates):
Th  0.3333  0.6667  0.2500  6 As 3.03
As  0.6667  0.3333  0.7500  6 Th 3.03